Sn3BRh | meta-GGA SCAN | single point on PBEsol structure

Cell and atoms, written as extended XYZ:
```
5
Lattice="4.598 0.000 0.000 0.000 4.598 0.000 0.000 0.000 4.598" Properties=species:S:1:pos:R:3 pbc="T T T"
B 0.000 0.000 0.000
Rh 2.299 2.299 2.299
Sn 0.000 2.299 0.000
Sn 0.000 0.000 2.299
Sn 2.299 0.000 0.000
```

Output
The magnetic moment is 0.00 μB/atom. Its formation energy is 0.93 eV/atom. The calculated density is 8.029 Mg/m³. The space group is Pm-3m. As for the total energy: -28.868 eV/atom.

Sn2BTeRh | meta-GGA SCAN | single point on PBEsol structure

Cell and atoms, written as extended XYZ:
```
5
Lattice="-1.582 -3.134 -2.871 4.178 -1.710 -0.436 -0.832 -2.978 3.709" Properties=species:S:1:pos:R:3 pbc="T T T"
Sn -0.791 -1.567 -1.436
Sn 2.089 -0.855 -0.218
Rh 0.882 -3.911 0.201
B 0.000 0.000 0.000
Te -0.416 -1.489 1.854
```

Output
The magnetic moment is 0.00 μB/atom. The calculated density is 8.006 Mg/m³. The space group is P4/mmm. As for the total energy: -29.147 eV/atom.

SrB2Rh2 | meta-GGA SCAN | single point on PBEsol structure

Cell and atoms, written as extended XYZ:
```
10
Lattice="5.541 -0.006 0.000 -2.290 5.046 0.000 -1.626 -2.520 5.287" Properties=species:S:1:pos:R:3 pbc="T T T"
Rh 2.771 -0.003 4.021
Rh 2.771 -0.003 1.266
Rh 1.626 2.520 1.378
Rh 0.000 0.000 3.909
B 0.271 3.394 0.000
B 1.416 0.871 2.643
B 4.125 -0.877 2.643
B 2.980 1.646 0.000
Sr 0.000 0.000 0.000
Sr -1.145 2.523 2.643
```

Output
The magnetic moment is 0.00 μB/atom. Its formation energy is -0.68 eV/atom. The calculated density is 7.082 Mg/m³. The space group is Fddd. As for the total energy: -21.612 eV/atom.

Ta2B2Rh | meta-GGA SCAN | single point on PBEsol structure

Cell and atoms, written as extended XYZ:
```
10
Lattice="3.532 0.000 0.000 0.000 5.745 0.000 0.000 0.000 5.745" Properties=species:S:1:pos:R:3 pbc="T T T"
Ta 1.766 1.002 3.874
Ta 1.766 4.742 1.870
Ta 1.766 1.870 1.002
Ta 1.766 3.874 4.742
Rh 0.000 0.000 0.000
Rh 0.000 2.872 2.872
B 0.000 5.081 3.536
B 0.000 3.536 0.664
B 0.000 2.209 5.081
B 0.000 0.664 2.209
```

Output
The magnetic moment is 0.00 μB/atom. Its formation energy is -0.69 eV/atom. The calculated density is 13.860 Mg/m³. The space group is P4/mbm. As for the total energy: -37.048 eV/atom.

TaB2Rh | meta-GGA SCAN | single point on PBEsol structure

Cell and atoms, written as extended XYZ:
```
8
Lattice="3.685 0.000 0.000 0.000 3.685 0.000 -1.842 -1.842 7.307" Properties=species:S:1:pos:R:3 pbc="T T T"
B -0.921 -0.004 5.480
B 1.846 0.921 1.827
B 1.838 2.763 1.827
B 0.921 0.004 5.480
Rh 1.842 0.000 3.653
Rh 1.842 1.842 0.000
Ta 0.000 1.842 3.653
Ta 0.000 0.000 0.000
```

Output
The magnetic moment is 0.00 μB/atom. Its formation energy is 0.28 eV/atom. The calculated density is 10.227 Mg/m³. The space group is I4_1/amd. As for the total energy: -28.528 eV/atom.

TbBRh3 | meta-GGA SCAN | single point on PBEsol structure

Cell and atoms, written as extended XYZ:
```
5
Lattice="4.146 0.000 0.000 0.000 4.146 0.000 0.000 0.000 4.146" Properties=species:S:1:pos:R:3 pbc="T T T"
Rh 2.073 2.073 0.000
Rh 2.073 0.000 2.073
Rh 0.000 2.073 2.073
B 2.073 2.073 2.073
Tb 0.000 0.000 0.000
```

Output
The magnetic moment is 0.01 μB/atom. Its formation energy is -0.89 eV/atom. The calculated density is 11.150 Mg/m³. The space group is Pm-3m. As for the total energy: -31.989 eV/atom.

Tb2B6Rh9 | meta-GGA SCAN | single point on PBEsol structure

Cell and atoms, written as extended XYZ:
```
17
Lattice="5.534 0.000 0.000 -2.767 4.792 0.000 0.000 0.000 8.476" Properties=species:S:1:pos:R:3 pbc="T T T"
Rh 1.383 2.396 4.238
Rh 2.767 0.000 4.238
Rh -1.383 2.396 7.086
Rh -1.383 2.396 1.390
Rh -1.383 2.396 4.238
Rh 1.383 2.396 7.086
Rh 2.767 0.000 7.086
Rh 1.383 2.396 1.390
Rh 2.767 0.000 1.390
B 2.767 1.597 5.657
B 2.767 1.597 0.000
B 0.000 3.195 2.819
B 0.000 3.195 5.657
B 2.767 1.597 2.819
B 0.000 3.195 0.000
Tb 0.000 0.000 5.981
Tb 0.000 0.000 2.495
```

Output
The magnetic moment is 0.00 μB/atom. Its formation energy is -0.76 eV/atom. The calculated density is 9.668 Mg/m³. The space group is P6/mmm. As for the total energy: -26.760 eV/atom.

TbB4Rh4 | meta-GGA SCAN | single point on PBEsol structure

Cell and atoms, written as extended XYZ:
```
18
Lattice="5.278 0.000 0.000 0.000 5.278 0.000 0.000 0.000 7.371" Properties=species:S:1:pos:R:3 pbc="T T T"
Rh 3.966 0.000 4.752
Rh 3.951 2.639 6.304
Rh 2.639 3.951 1.067
Rh 2.639 1.327 1.067
Rh 0.000 3.966 2.619
Rh 1.312 0.000 4.752
Rh 1.327 2.639 6.304
Rh 0.000 1.312 2.619
B 2.639 4.380 6.264
B 0.000 1.741 4.792
B 1.741 0.000 2.579
B 0.000 3.538 4.792
B 2.639 0.899 6.264
B 4.380 2.639 1.107
B 3.538 0.000 2.579
B 0.899 2.639 1.107
Tb 2.639 2.639 3.685
Tb 0.000 0.000 0.000
```

Output
The magnetic moment is 0.00 μB/atom. Its formation energy is -0.68 eV/atom. The calculated density is 9.926 Mg/m³. The space group is P4_2/nmc. As for the total energy: -24.188 eV/atom.

TbB2Rh3 | meta-GGA SCAN | single point on PBEsol structure

Cell and atoms, written as extended XYZ:
```
6
Lattice="-0.807 -1.697 -2.473 0.804 -4.480 2.812 -4.821 2.319 -0.017" Properties=species:S:1:pos:R:3 pbc="T T T"
Tb 0.000 0.000 0.000
Rh -0.002 -3.088 0.170
Rh -2.412 -1.929 0.161
Rh -2.814 0.311 -1.245
B -1.071 -2.214 1.869
B -2.946 0.053 0.926
```

Output
The magnetic moment is 0.00 μB/atom. Its formation energy is -0.83 eV/atom. The calculated density is 10.554 Mg/m³. The space group is P6/mmm. As for the total energy: -27.990 eV/atom.

TcB2Rh | meta-GGA SCAN | single point on PBEsol structure

Cell and atoms, written as extended XYZ:
```
4
Lattice="-0.681 -3.178 1.967 -0.372 -3.316 -1.816 2.700 -2.653 0.318" Properties=species:S:1:pos:R:3 pbc="T T T"
B 0.412 -2.287 0.117
B 1.235 -6.860 0.351
Tc 0.000 0.000 0.000
Rh 0.824 -4.573 0.234
```

Output
The magnetic moment is 0.00 μB/atom. Its formation energy is 0.08 eV/atom. The calculated density is 9.533 Mg/m³. The space group is Fm-3m. As for the total energy: -20.844 eV/atom.

BTeRh3 | meta-GGA SCAN | single point on PBEsol structure

Cell and atoms, written as extended XYZ:
```
5
Lattice="-3.162 0.189 -2.679 -1.167 -3.823 1.108 -2.418 1.598 2.967" Properties=species:S:1:pos:R:3 pbc="T T T"
Rh -1.581 0.095 -1.339
Rh -1.209 0.799 1.484
Rh -0.584 -1.912 0.554
B 0.000 0.000 0.000
Te -3.374 -1.018 0.698
```

Output
The magnetic moment is 0.27 μB/atom. The calculated density is 10.401 Mg/m³. The space group is Pm-3m. As for the total energy: -29.232 eV/atom.

ThBRh3 | meta-GGA SCAN | single point on PBEsol structure

Cell and atoms, written as extended XYZ:
```
5
Lattice="-0.370 3.622 -2.133 -1.456 -2.120 -3.346 -3.944 0.443 1.435" Properties=species:S:1:pos:R:3 pbc="T T T"
B -2.885 0.973 -2.022
Rh -0.913 0.751 -2.740
Rh -2.157 2.032 -0.349
Rh -2.700 -0.838 -0.955
Th 0.000 0.000 0.000
```

Output
The magnetic moment is 0.00 μB/atom. Its formation energy is -0.94 eV/atom. The calculated density is 12.187 Mg/m³. The space group is Pm-3m. As for the total energy: -41.870 eV/atom.